Record 1
PBE-GGA SbAsOs2, optimized geometry; offset from the most stable computed form = 283.4 meV per atom; calculated density = 14630 kg/m3; formation energy from raw total energies = 0.581 eV per atom; DOS(E_F) = 2.637 states/eV/f.u.; total energy = -7.227 eV/atom
1.0
0.000 3.200 3.200
3.200 0.000 3.200
3.200 3.200 0.000
Sb As Os
1 1 2
Cartesian
3.200 3.200 3.200
0.000 0.000 0.000
1.600 1.600 1.600
4.799 4.799 4.799

=====

Record 2
PBE-GGA KTcGe3, optimized geometry; offset from the most stable computed form = 2050.4 meV per atom; calculated density = 4054 kg/m3; ΔH_f (0 K) = 2.167 eV per atom; DOS(E_F) = 4.304 states/eV/f.u.; total energy = -2.896 eV/atom
1.0
5.258 0.000 0.000
0.000 5.258 0.000
0.000 0.000 5.258
K Ge Tc
1 3 1
Cartesian
0.000 0.000 0.000
0.000 2.629 0.000
0.000 0.000 2.629
2.629 0.000 0.000
2.629 2.629 2.629

=====

Record 3
PBE-GGA La2Pr3Pt4, optimized geometry; calculated density = 10234 kg/m3; ΔH_f (0 K) = -1.026 eV per atom; DOS(E_F) = 6.792 states/eV/f.u.; total energy = -6.399 eV/atom
1.0
8.198 0.143 0.000
-2.559 7.412 0.000
0.000 0.000 7.861
La Pr Pt
4 6 8
Cartesian
4.386 1.601 2.507
5.352 6.026 6.437
1.253 5.955 5.354
0.287 1.529 1.423
-1.280 3.706 3.930
2.819 3.778 0.000
5.545 1.892 6.550
4.193 5.735 2.620
0.094 5.663 1.310
1.446 1.821 5.241
6.911 0.834 4.153
2.827 6.793 0.222
-1.272 6.722 3.708
2.812 0.763 7.638
5.905 3.790 1.024
3.832 3.837 4.954
-0.267 3.765 6.837
1.806 3.719 2.906

=====

Record 4
PBE-GGA Mg2TeOs2, optimized geometry; offset from the most stable computed form = 0.0 meV per atom; calculated density = 8938 kg/m3; formation energy from raw total energies = 0.261 eV per atom; DOS(E_F) = 3.044 states/eV/f.u.; total energy = -5.497 eV/atom
1.0
3.583 0.000 0.000
0.000 3.583 0.000
1.792 1.792 8.055
Mg Te Os
2 1 2
Cartesian
1.792 1.792 1.792
3.583 3.583 6.263
0.000 0.000 0.000
3.583 1.792 4.028
1.792 3.583 4.028